# 1
The following is a GGA-PBE calculation of a relaxed structure of Sr2YHoSe4, from Alexandria via LeMat-Bulk.

Cell and atoms, written as extended XYZ:
```
8
Lattice="-3.024 2.297 1.802 -4.620 -5.574 -0.651 3.516 -0.511 6.553" Properties=species:S:1:pos:R:3 pbc="T T T"
Se 1.517 -1.832 4.882
Se -2.621 -4.252 1.021
Se -1.835 -0.335 2.251
Se -2.294 -3.452 5.453
Y 0.000 0.000 0.000
Ho -3.822 -1.639 0.575
Sr -0.552 -3.042 2.951
Sr 0.246 0.893 4.177
```

Computed properties:
Its uncorrected formation energy is -1.880 eV/atom. For the spin magnetization, the calculation gives 0.0 μB/f.u.

# 2
The following is a GGA-PBE calculation of a relaxed structure of SrY2HoSe4, from Alexandria via LeMat-Bulk.

Cell and atoms, written as extended XYZ:
```
8
Lattice="-3.339 -2.080 1.260 2.838 -6.108 -2.563 3.906 -3.135 5.177" Properties=species:S:1:pos:R:3 pbc="T T T"
Se 5.038 -6.954 1.872
Se 1.471 -6.444 0.032
Se 1.933 -4.879 3.842
Se -1.634 -4.369 2.002
Y 0.283 -2.608 3.218
Y 3.906 -3.135 5.177
Sr -0.251 -4.094 -0.652
Ho 3.372 -4.621 1.307
```

Computed properties:
Its uncorrected formation energy is -1.796 eV/atom. For the spin magnetization, the calculation gives 0.0 μB/f.u.

# 3
The following is a GGA-PBE calculation of a relaxed structure of SrYHo4Se8, from Alexandria via LeMat-Bulk.

Cell and atoms, written as extended XYZ:
```
14
Lattice="-6.322 -5.679 -0.031 -1.262 -4.917 -6.816 1.760 -8.320 0.378" Properties=species:S:1:pos:R:3 pbc="T T T"
Ho -2.244 -6.993 0.162
Ho 0.248 -6.618 -3.180
Ho 0.870 -4.195 0.177
Ho -4.523 -7.659 -4.233
Se -4.614 -7.572 -1.480
Se -4.466 -14.077 -4.913
Se -1.276 -4.930 -1.506
Se -5.281 -10.170 -5.081
Se -4.006 -11.768 -1.366
Se -0.509 -8.625 -1.349
Se -1.207 -11.346 -5.120
Se -1.941 -7.169 -5.065
Y 1.736 -8.293 0.362
Sr -1.298 -11.260 -2.233
```

Computed properties:
Its uncorrected formation energy is -1.789 eV/atom. For the spin magnetization, the calculation gives 0.0 μB/f.u.

# 4
The following is a GGA-PBE calculation of a relaxed structure of SrYHo2Se4, from Alexandria via LeMat-Bulk.

Cell and atoms, written as extended XYZ:
```
8
Lattice="-0.791 -2.461 3.211 3.796 -5.263 -3.100 6.864 0.513 2.083" Properties=species:S:1:pos:R:3 pbc="T T T"
Se 7.968 -3.642 -0.830
Se 1.901 -3.570 3.024
Se 4.224 -5.090 -0.216
Se 5.646 -2.121 2.410
Sr 1.503 -3.862 0.056
Y 5.330 -2.375 -0.508
Ho 3.037 -0.974 2.647
Ho 6.864 0.513 2.083
```

Computed properties:
Its uncorrected formation energy is -1.787 eV/atom. For the spin magnetization, the calculation gives 0.0 μB/f.u.

# 5
The following is a GGA-PBE calculation of a relaxed structure of HoTaSe2, from Alexandria via LeMat-Bulk.

Cell and atoms, written as extended XYZ:
```
4
Lattice="3.499 0.000 0.000 1.749 3.030 0.000 1.749 1.010 9.112" Properties=species:S:1:pos:R:3 pbc="T T T"
Se 1.749 1.010 6.247
Se 5.248 3.030 2.864
Ho 0.000 0.000 0.000
Ta 3.499 2.020 4.556
```

Computed properties:
Its uncorrected formation energy is -0.591 eV/atom. For the spin magnetization, the calculation gives 0.0 μB/f.u.

# 6
The following is a GGA-PBE calculation of a relaxed structure of HoTa2Se6, from Alexandria via LeMat-Bulk.

Cell and atoms, written as extended XYZ:
```
9
Lattice="4.884 0.000 0.000 2.442 6.399 -0.208 2.442 2.437 7.922" Properties=species:S:1:pos:R:3 pbc="T T T"
Ta 4.884 7.028 6.825
Ta 4.884 1.807 0.890
Se 4.884 2.889 3.134
Se 2.442 2.343 0.405
Se 2.442 3.011 6.331
Se 7.326 6.493 7.309
Se 7.326 5.824 1.383
Se 4.884 5.947 4.581
Ho 2.442 4.418 3.857
```

Computed properties:
Its uncorrected formation energy is -0.815 eV/atom. For the spin magnetization, the calculation gives 1.0 μB/f.u.

# 7
The following is a GGA-PBE calculation of a relaxed structure of Ho6TaSe12, from Alexandria via LeMat-Bulk.

Cell and atoms, written as extended XYZ:
```
19
Lattice="8.083 0.002 0.003 -1.223 7.989 0.003 -1.223 -1.425 7.861" Properties=species:S:1:pos:R:3 pbc="T T T"
Se 3.929 0.823 3.378
Se -1.039 7.367 2.501
Se 2.545 4.365 1.413
Se -1.803 4.122 7.331
Se 7.439 2.445 0.535
Se 5.418 3.959 3.319
Se 3.091 2.202 6.453
Se 6.675 -0.800 5.366
Se 0.218 2.608 4.547
Se 1.288 -0.854 7.695
Se 4.348 7.420 0.171
Se 1.708 5.744 4.488
Ho 1.536 0.177 5.011
Ho 5.694 1.912 5.451
Ho 4.101 6.390 2.855
Ho -0.058 4.654 2.415
Ho 4.609 2.260 1.070
Ho 1.027 4.306 6.797
Ta 0.000 0.000 0.000
```

Computed properties:
Its uncorrected formation energy is -1.512 eV/atom. For the spin magnetization, the calculation gives 0.0 μB/f.u.

# 8
The following is a GGA-PBE calculation of a relaxed structure of TbHoSe2, from Alexandria via LeMat-Bulk.

Cell and atoms, written as extended XYZ:
```
8
Lattice="3.995 0.000 0.000 -1.998 3.460 0.000 0.000 0.000 13.919" Properties=species:S:1:pos:R:3 pbc="T T T"
Ho 0.000 2.307 10.439
Ho 1.998 1.153 3.480
Tb 0.000 0.000 6.959
Tb 0.000 0.000 0.000
Se 1.998 1.153 12.189
Se 1.998 1.153 8.689
Se 0.000 2.307 1.729
Se 0.000 2.307 5.230
```

Computed properties:
Its uncorrected formation energy is -1.735 eV/atom. For the spin magnetization, the calculation gives 0.0 μB/f.u.

# 9
The following is a GGA-PBE calculation of a relaxed structure of TbHo6Se8, from Alexandria via LeMat-Bulk.

Cell and atoms, written as extended XYZ:
```
15
Lattice="-2.210 -6.848 -3.689 1.694 -7.146 3.386 -5.949 -4.521 3.093" Properties=species:S:1:pos:R:3 pbc="T T T"
Ho 0.847 -3.573 1.693
Ho -0.258 -6.997 -0.152
Ho -2.128 -5.833 3.240
Ho -1.105 -3.424 -1.845
Ho -4.080 -5.685 -0.298
Ho -2.975 -2.260 1.547
Se -1.616 -4.629 0.697
Se -5.644 -10.291 0.420
Se -4.562 -6.939 2.226
Se -2.732 -8.078 -1.093
Se -3.733 -10.436 3.883
Se -0.821 -8.224 2.370
Se -1.903 -11.576 0.564
Se -4.849 -13.886 2.092
Tb 0.000 0.000 0.000
```

Computed properties:
Its uncorrected formation energy is -1.816 eV/atom. For the spin magnetization, the calculation gives 0.0 μB/f.u.

# 10
The following is a GGA-PBE calculation of a relaxed structure of TbHo3Se4, from Alexandria via LeMat-Bulk.

Cell and atoms, written as extended XYZ:
```
8
Lattice="-3.534 4.312 1.408 -3.864 -3.797 1.929 2.376 0.239 5.231" Properties=species:S:1:pos:R:3 pbc="T T T"
Ho -3.699 0.257 1.668
Ho -0.744 -1.779 3.580
Ho -0.579 2.276 3.320
Se -1.767 2.156 0.704
Se -1.932 -1.899 0.964
Se -2.511 0.377 4.284
Se 1.188 0.120 2.616
Tb 0.000 0.000 0.000
```

Computed properties:
Its uncorrected formation energy is -1.722 eV/atom. For the spin magnetization, the calculation gives 0.0 μB/f.u.

# 11
The following is a GGA-PBE calculation of a relaxed structure of TbHo2Se, from Alexandria via LeMat-Bulk.

Cell and atoms, written as extended XYZ:
```
4
Lattice="-0.791 1.064 3.441 -2.597 -1.773 1.928 6.037 -6.750 5.452" Properties=species:S:1:pos:R:3 pbc="T T T"
Se 1.325 -3.729 5.411
Ho -1.055 -2.829 6.561
Ho 3.704 -4.629 4.260
Tb 0.000 0.000 0.000
```

Computed properties:
Its uncorrected formation energy is -0.531 eV/atom. For the spin magnetization, the calculation gives 0.7 μB/f.u.

# 12
The following is a GGA-PBE calculation of a relaxed structure of Tb3HoSe6, from Alexandria via LeMat-Bulk.

Cell and atoms, written as extended XYZ:
```
20
Lattice="-0.055 0.535 -4.072 -4.562 -10.572 -1.327 -8.800 7.903 1.156" Properties=species:S:1:pos:R:3 pbc="T T T"
Tb -1.490 -0.633 -3.170
Tb -5.840 0.714 -0.863
Tb -11.927 -1.502 -1.072
Tb -9.322 2.433 -2.662
Tb -7.577 -2.848 -3.379
Tb -4.095 -4.567 -1.581
Se -7.503 3.188 -0.516
Se -3.083 0.103 -0.981
Se -10.999 1.159 -0.735
Se -2.418 -3.294 -3.507
Se -5.110 -8.502 -4.155
Se -10.333 -2.238 -3.262
Se -5.914 -5.323 -3.727
Se -4.628 2.916 -2.662
Se -5.766 -2.322 -1.263
Se -8.307 6.367 -0.088
Se -8.789 -5.050 -1.581
Se -7.651 0.187 -2.980
Ho -7.108 -7.544 -1.931
Ho -6.309 5.410 -2.312
```

Computed properties:
Its uncorrected formation energy is -1.858 eV/atom. For the spin magnetization, the calculation gives 0.0 μB/f.u.